w) A plane-wave DFT calculation with PBE was carried out for a relaxed structure of TmCd4Hg.

abc: 6.041 6.100 9.108
angles: 90.00 90.00 90.00
Space group Cmmm (No. 65)
Inequivalent atoms, fractional coordinates:
Tm: 0.000 0.000 0.000 (multiplicity 2)
Cd: 0.250 0.250 0.256 (multiplicity 8)
Hg: 0.000 0.500 0.500 (multiplicity 2)



x) A plane-wave DFT calculation with PBE was carried out for a relaxed structure of TmCd4Hg.

abc: 5.0253 5.0253 6.4157
angles: 90.00 90.00 120.00
Space group P6/mmm (No. 191)
Inequivalent atoms, fractional coordinates:
Tm: 0.0000 0.0000 0.0000 (multiplicity 1)
Cd: 0.3333 0.6667 0.2427 (multiplicity 4)
Hg: 0.0000 0.0000 0.5000 (multiplicity 1)



y) A plane-wave DFT calculation with PBE was carried out for a relaxed structure of TmCd4Hg.

abc: 8.329 8.329 8.329
angles: 90.00 90.00 90.00
Space group F-43m (No. 216)
Inequivalent atoms, fractional coordinates:
Tm: 0.000 0.000 0.000 (multiplicity 4)
Cd: 0.126 0.126 0.374 (multiplicity 16)
Hg: 0.250 0.250 0.750 (multiplicity 4)



Least stable structure: w)



w) A plane-wave DFT calculation with PBE was carried out for a relaxed structure of Tm4CdHg2.

abc: 5.1308 5.1308 24.8939
angles: 90.00 90.00 120.00
Space group R-3m (No. 166, hexagonal axes)
Inequivalent atoms, fractional coordinates:
Tm: 0.0000 0.0000 0.1194 (multiplicity 6)
Tm: 0.0000 0.0000 0.3715 (multiplicity 6)
Cd: 0.0000 0.0000 0.5000 (multiplicity 3)
Hg: 0.0000 0.0000 0.2497 (multiplicity 6)



x) A plane-wave DFT calculation with PBE was carried out for a relaxed structure of Tm4CdHg2.

abc: 4.9727 4.9727 28.4775
angles: 90.00 90.00 120.00
Space group R-3m (No. 166, hexagonal axes)
Inequivalent atoms, fractional coordinates:
Tm: 0.0000 0.0000 0.1195 (multiplicity 6)
Tm: 0.0000 0.0000 0.2954 (multiplicity 6)
Cd: 0.0000 0.0000 0.5000 (multiplicity 3)
Hg: 0.0000 0.0000 0.4000 (multiplicity 6)



Least stable structure: x)



w) A plane-wave DFT calculation with PBE was carried out for a relaxed structure of Tm3Cd2Hg3.

abc: 3.735 5.135 20.253
angles: 90.00 90.00 90.00
Space group Immm (No. 71)
Inequivalent atoms, fractional coordinates:
Tm: 0.000 0.000 0.000 (multiplicity 2)
Tm: 0.000 0.500 0.130 (multiplicity 4)
Cd: 0.000 0.000 0.241 (multiplicity 4)
Hg: 0.000 0.000 0.500 (multiplicity 2)
Hg: 0.000 0.500 0.379 (multiplicity 4)



x) A plane-wave DFT calculation with PBE was carried out for a relaxed structure of Tm3Cd2Hg3.

abc: 7.8780 7.8780 3.7274
angles: 90.00 90.00 120.00
Space group P-62m (No. 189)
Inequivalent atoms, fractional coordinates:
Tm: 0.0000 0.6346 0.0000 (multiplicity 3)
Cd: 0.3333 0.6667 0.5000 (multiplicity 2)
Hg: 0.0000 0.2532 0.5000 (multiplicity 3)



Least stable structure: x)



w) A plane-wave DFT calculation with PBE was carried out for a relaxed structure of TmCd4Hg2.

abc: 4.889 19.850 3.343
angles: 90.00 90.00 90.00
Space group Cmmm (No. 65)
Inequivalent atoms, fractional coordinates:
Tm: 0.000 0.000 0.000 (multiplicity 2)
Cd: 0.000 0.153 0.500 (multiplicity 4)
Cd: 0.000 0.293 0.000 (multiplicity 4)
Hg: 0.000 0.427 0.500 (multiplicity 4)



x) A plane-wave DFT calculation with PBE was carried out for a relaxed structure of TmCd4Hg2.

abc: 9.268 9.424 4.013
angles: 90.00 90.00 90.00
Space group Cmmm (No. 65)
Inequivalent atoms, fractional coordinates:
Tm: 0.000 0.000 0.000 (multiplicity 2)
Cd: 0.212 0.500 0.500 (multiplicity 4)
Cd: 0.250 0.250 0.000 (multiplicity 4)
Hg: 0.000 0.254 0.500 (multiplicity 4)



Least stable structure: x)



w) A plane-wave DFT calculation with PBE was carried out for a relaxed structure of TmCd8Hg2.

abc: 13.971 8.260 5.041
angles: 90.00 100.45 90.00
Space group C2/m (No. 12)
Inequivalent atoms, fractional coordinates:
Tm: 0.000 0.000 0.000 (multiplicity 2)
Cd: 0.072 0.317 0.785 (multiplicity 8)
Cd: 0.142 0.500 0.319 (multiplicity 4)
Cd: 0.233 0.000 0.111 (multiplicity 4)
Hg: 0.130 0.000 0.553 (multiplicity 4)



x) A plane-wave DFT calculation with PBE was carried out for a relaxed structure of TmCd8Hg2.

abc: 12.723 8.001 5.886
angles: 90.00 109.10 90.00
Space group C2/m (No. 12)
Inequivalent atoms, fractional coordinates:
Tm: 0.000 0.000 0.000 (multiplicity 2)
Cd: 0.001 0.500 0.264 (multiplicity 4)
Cd: 0.119 0.000 0.607 (multiplicity 4)
Cd: 0.168 0.305 0.115 (multiplicity 8)
Hg: 0.223 0.500 0.656 (multiplicity 4)



Least stable structure: x)



w) A plane-wave DFT calculation with PBE was carried out for a relaxed structure of Tm2Cd5Hg.

abc: 4.7627 4.7627 32.1645
angles: 90.00 90.00 120.00
Space group R-3m (No. 166, hexagonal axes)
Inequivalent atoms, fractional coordinates:
Tm: 0.0000 0.0000 0.0960 (multiplicity 6)
Cd: 0.0000 0.0000 0.1977 (multiplicity 6)
Cd: 0.0000 0.0000 0.3771 (multiplicity 6)
Cd: 0.0000 0.0000 0.5000 (multiplicity 3)
Hg: 0.0000 0.0000 0.0000 (multiplicity 3)



x) A plane-wave DFT calculation with PBE was carried out for a relaxed structure of Tm2Cd5Hg.

abc: 6.567 13.092 4.397
angles: 90.00 90.00 90.00
Space group Pbam (No. 55)
Inequivalent atoms, fractional coordinates:
Tm: 0.231 0.121 0.000 (multiplicity 4)
Cd: 0.000 0.500 0.500 (multiplicity 2)
Cd: 0.017 0.747 0.500 (multiplicity 4)
Cd: 0.233 0.371 0.000 (multiplicity 4)
Hg: 0.000 0.000 0.500 (multiplicity 2)



Least stable structure: w)



w) A plane-wave DFT calculation with PBE was carried out for a relaxed structure of TmCd2Hg6.

abc: 8.887 5.132 9.592
angles: 90.00 90.06 90.00
Space group C2/m (No. 12)
Inequivalent atoms, fractional coordinates:
Tm: 0.000 0.000 0.000 (multiplicity 2)
Cd: 0.167 0.500 0.810 (multiplicity 4)
Hg: 0.000 0.000 0.328 (multiplicity 4)
Hg: 0.167 0.500 0.132 (multiplicity 4)
Hg: 0.167 0.500 0.469 (multiplicity 4)



x) A plane-wave DFT calculation with PBE was carried out for a relaxed structure of TmCd2Hg6.

abc: 3.557 14.946 8.624
angles: 90.00 90.00 90.00
Space group Amm2 (No. 38)
Inequivalent atoms, fractional coordinates:
Tm: 0.000 0.000 0.000 (multiplicity 2)
Cd: 0.500 0.167 0.499 (multiplicity 4)
Hg: 0.000 0.000 0.626 (multiplicity 2)
Hg: 0.000 0.187 0.186 (multiplicity 4)
Hg: 0.500 0.000 0.292 (multiplicity 2)
Hg: 0.500 0.146 0.853 (multiplicity 4)



Least stable structure: x)



w) A plane-wave DFT calculation with PBE was carried out for a relaxed structure of V2CdHg.

abc: 7.427 7.427 5.427
angles: 90.00 90.00 90.00
Space group I-42d (No. 122)
Inequivalent atoms, fractional coordinates:
V: 0.245 0.250 0.125 (multiplicity 8)
Cd: 0.000 0.000 0.500 (multiplicity 4)
Hg: 0.000 0.000 0.000 (multiplicity 4)



x) A plane-wave DFT calculation with PBE was carried out for a relaxed structure of V2CdHg.

abc: 6.622 6.622 6.622
angles: 90.00 90.00 90.00
Space group Fm-3m (No. 225)
Inequivalent atoms, fractional coordinates:
V: 0.250 0.250 0.250 (multiplicity 8)
Cd: 0.000 0.000 0.000 (multiplicity 4)
Hg: 0.000 0.000 0.500 (multiplicity 4)



Least stable structure: w)



w) A plane-wave DFT calculation with PBE was carried out for a relaxed structure of CdHgW.

abc: 2.9731 2.9731 7.5210
angles: 90.00 90.00 120.00
Space group P3m1 (No. 156)
Inequivalent atoms, fractional coordinates:
Cd: 0.0000 0.0000 0.0000 (multiplicity 1)
Hg: 0.3333 0.6667 0.3561 (multiplicity 1)
W: 0.6667 0.3333 0.6787 (multiplicity 1)



x) A plane-wave DFT calculation with PBE was carried out for a relaxed structure of CdHgW.

abc: 3.383 4.651 14.639
angles: 90.00 90.00 90.00
Space group Fmm2 (No. 42)
Inequivalent atoms, fractional coordinates:
Cd: 0.000 0.000 0.000 (multiplicity 4)
Hg: 0.000 0.000 0.323 (multiplicity 4)
W: 0.000 0.000 0.660 (multiplicity 4)



Least stable structure: x)



w) A plane-wave DFT calculation with PBE was carried out for a relaxed structure of CdHgW.

abc: 6.474 6.474 6.474
angles: 90.00 90.00 90.00
Space group F-43m (No. 216)
Inequivalent atoms, fractional coordinates:
Cd: 0.000 0.000 0.000 (multiplicity 4)
Hg: 0.250 0.250 0.750 (multiplicity 4)
W: 0.000 0.000 0.500 (multiplicity 4)



x) A plane-wave DFT calculation with PBE was carried out for a relaxed structure of CdHgW.

abc: 2.870 2.870 14.001
angles: 90.00 90.00 90.00
Space group I4mm (No. 107)
Inequivalent atoms, fractional coordinates:
Cd: 0.000 0.000 0.000 (multiplicity 2)
Hg: 0.000 0.000 0.681 (multiplicity 2)
W: 0.000 0.000 0.342 (multiplicity 2)



Least stable structure: w)



w) A plane-wave DFT calculation with PBE was carried out for a relaxed structure of CdHgW3.

abc: 4.860 4.860 4.860
angles: 90.00 90.00 90.00
Space group Pm-3m (No. 221)
Inequivalent atoms, fractional coordinates:
Cd: 0.000 0.000 0.000 (multiplicity 1)
Hg: 0.500 0.500 0.500 (multiplicity 1)
W: 0.000 0.000 0.500 (multiplicity 3)



x) A plane-wave DFT calculation with PBE was carried out for a relaxed structure of CdHgW3.

abc: 4.944 4.944 4.944
angles: 90.00 90.00 90.00
Space group Pm-3m (No. 221)
Inequivalent atoms, fractional coordinates:
Cd: 0.000 0.000 0.000 (multiplicity 1)
Hg: 0.500 0.500 0.500 (multiplicity 1)
W: 0.000 0.500 0.500 (multiplicity 3)



Least stable structure: x)



w) A plane-wave DFT calculation with PBE was carried out for a relaxed structure of YCd2Hg8.

abc: 15.355 5.104 8.270
angles: 90.00 122.28 90.00
Space group C2/m (No. 12)
Inequivalent atoms, fractional coordinates:
Y: 0.000 0.000 0.000 (multiplicity 2)
Cd: 0.221 0.500 0.718 (multiplicity 4)
Hg: 0.004 0.500 0.690 (multiplicity 4)
Hg: 0.137 0.000 0.450 (multiplicity 4)
Hg: 0.143 0.000 0.836 (multiplicity 4)
Hg: 0.147 0.500 0.153 (multiplicity 4)



x) A plane-wave DFT calculation with PBE was carried out for a relaxed structure of YCd2Hg8.

abc: 9.568 12.890 4.630
angles: 90.00 90.09 90.00
Space group C2/m (No. 12)
Inequivalent atoms, fractional coordinates:
Y: 0.000 0.000 0.000 (multiplicity 2)
Cd: 0.000 0.384 0.500 (multiplicity 4)
Hg: 0.000 0.243 0.000 (multiplicity 4)
Hg: 0.174 0.500 0.000 (multiplicity 4)
Hg: 0.176 0.136 0.501 (multiplicity 8)



Least stable structure: x)